Below is CeIn2PbS4 after structural relaxation, with properties calculated at the PBE level.

Formation energy from raw total energies ... -0.8844 eV/atom
Symmetry ... P2/m, No. 10

Cell lengths 4.1571, 7.6070, 7.2590 Å; angles 71.69, 90.00, 90.00 degrees
Positions (direct):
S1 0.5000 0.2872 0.7172
S2 0.5000 0.7128 0.2828
S3 0.0000 0.2768 0.2677
S4 0.0000 0.7233 0.7323
Ce1 0.0000 0.5000 0.5000
In1 0.0000 0.0000 0.0000
In2 0.5000 0.0000 0.5000
Pb1 0.5000 0.5000 0.0000

=====

Below is SnOsRuN after structural relaxation, with properties calculated at the PBE level.

Formation energy from raw total energies ... 0.4432 eV/atom
Polymorph energy (0 for the lowest one) ... 4.16 kcal/mol of atoms
Symmetry ... Imm2, No. 44

Cell lengths 3.3344, 3.2726, 10.7589 Å; angles 90.00, 90.00, 90.00 degrees
Positions (direct):
N1 0.5000 0.0000 0.9720
N2 0.0000 0.5000 0.4720
Sn1 0.5000 0.5000 0.7248
Sn2 0.0000 0.0000 0.2248
Os1 0.5000 0.5000 0.3743
Os2 0.0000 0.0000 0.8743
Ru1 0.0000 0.0000 0.5805
Ru2 0.5000 0.5000 0.0805

=====

Below is NaAlHgF6 after structural relaxation, with properties calculated at the PBE level.

Formation energy from raw total energies ... -2.6790 eV/atom
Symmetry ... P-31c, No. 163

Cell lengths 5.6229, 5.6229, 9.2134 Å; angles 90.00, 90.00, 120.00 degrees
Positions (direct):
F1 0.3280 0.9337 0.6369
F2 0.6720 0.0663 0.3631
F3 0.6720 0.6056 0.1369
F4 0.6056 0.6720 0.6369
F5 0.6056 0.9337 0.8631
F6 0.3944 0.3280 0.3631
F7 0.0663 0.3944 0.6369
F8 0.9337 0.6056 0.3631
F9 0.0663 0.6720 0.8631
F10 0.9337 0.3280 0.1369
F11 0.3944 0.0663 0.1369
F12 0.3280 0.3944 0.8631
Na1 0.0000 0.0000 0.5000
Na2 0.0000 0.0000 0.0000
Hg1 0.6667 0.3333 0.7500
Hg2 0.3333 0.6667 0.2500
Al1 0.6667 0.3333 0.2500
Al2 0.3333 0.6667 0.7500

=====

Below is Rb2UHgCl6 after structural relaxation, with properties calculated at the PBE level.

Formation energy from raw total energies ... -1.6623 eV/atom
Symmetry ... Pmmn, No. 59

Cell lengths 7.5348, 10.9185, 11.4251 Å; angles 90.00, 90.00, 90.00 degrees
Positions (direct):
Cl1 0.7589 0.0199 0.0000
Cl2 0.0000 0.8500 0.7689
Cl3 0.7590 0.3136 0.5000
Cl4 0.2411 0.0199 0.0000
Cl5 0.5000 0.1500 0.2689
Cl6 0.2590 0.6864 0.0000
Cl7 0.2410 0.3136 0.5000
Cl8 0.0000 0.8500 0.2311
Cl9 0.7411 0.9801 0.5000
Cl10 0.5000 0.1500 0.7311
Cl11 0.7410 0.6864 0.0000
Cl12 0.2589 0.9801 0.5000
Hg1 0.0000 0.6335 0.5000
Hg2 0.5000 0.3665 0.0000
Rb1 0.5000 0.8495 0.2109
Rb2 0.0000 0.1505 0.7109
Rb3 0.0000 0.1505 0.2891
Rb4 0.5000 0.8495 0.7891
U1 0.5000 0.1548 0.5000
U2 0.0000 0.8452 0.0000

=====

Below is MnSbMo after structural relaxation, with properties calculated at the PBE level.

Formation energy from raw total energies ... 0.3692 eV/atom
Polymorph energy (0 for the lowest one) ... 8.04 kcal/mol of atoms
Symmetry ... P3m1, No. 156

Cell lengths 4.3202, 4.3202, 2.9567 Å; angles 90.00, 90.00, 120.00 degrees
Positions (direct):
Mn1 0.0000 0.0000 0.8516
Mo1 0.3333 0.6667 0.3242
Sb1 0.6667 0.3333 0.8242

=====

Below is Fe4Sb5 after structural relaxation, with properties calculated at the PBE level.

Formation energy from raw total energies ... 0.4265 eV/atom
Polymorph energy (0 for the lowest one) ... 0.00 kcal/mol of atoms
Symmetry ... P6_3/mcm, No. 193

Cell lengths 7.9324, 7.9324, 6.3034 Å; angles 90.00, 90.00, 120.00 degrees
Positions (direct):
Sb1 0.0000 0.2612 0.7500
Sb2 0.0000 0.7388 0.2500
Sb3 0.6667 0.3333 0.0000
Sb4 0.2612 0.0000 0.7500
Sb5 0.7388 0.7388 0.7500
Sb6 0.7388 0.0000 0.2500
Sb7 0.2612 0.2612 0.2500
Sb8 0.6667 0.3333 0.5000
Sb9 0.3333 0.6667 0.5000
Sb10 0.3333 0.6667 0.0000
Fe1 0.4027 0.0000 0.2500
Fe2 0.0000 0.0000 0.0000
Fe3 0.5973 0.0000 0.7500
Fe4 0.0000 0.0000 0.5000
Fe5 0.0000 0.4027 0.2500
Fe6 0.4027 0.4027 0.7500
Fe7 0.5973 0.5973 0.2500
Fe8 0.0000 0.5973 0.7500

=====

Below is FeCoPb2 after structural relaxation, with properties calculated at the PBE level.

ΔE_f ... 61.8 kJ/mol of atoms
Symmetry ... Pmmm, No. 47

Cell lengths 4.7050, 4.8048, 3.3208 Å; angles 90.00, 90.00, 90.00 degrees
Positions (direct):
Co1 0.5000 0.0000 0.5000
Pb1 0.5000 0.5000 0.0000
Pb2 0.0000 0.0000 0.0000
Fe1 0.0000 0.5000 0.5000

=====

Below is Ba3MnN3 after structural relaxation, with properties calculated at the PBE level.

Formation energy from raw total energies ... -0.6560 eV/atom
Polymorph energy (0 for the lowest one) ... 0.00 kcal/mol of atoms
Symmetry ... P6_3/m, No. 176

Cell lengths 8.2872, 8.2872, 5.5295 Å; angles 90.00, 90.00, 120.00 degrees
Positions (direct):
N1 0.5489 0.6824 0.2500
N2 0.1335 0.4511 0.2500
N3 0.3176 0.8665 0.2500
N4 0.6824 0.1335 0.7500
N5 0.4511 0.3176 0.7500
N6 0.8665 0.5489 0.7500
Ba1 0.9183 0.6368 0.2500
Ba2 0.3632 0.2815 0.2500
Ba3 0.7185 0.0817 0.2500
Ba4 0.2815 0.9183 0.7500
Ba5 0.0817 0.3632 0.7500
Ba6 0.6368 0.7185 0.7500
Mn1 0.6667 0.3333 0.7500
Mn2 0.3333 0.6667 0.2500

=====

Across the entries above, V takes the values 27.2; 14.7; 14.0; 47.0; 15.9; 19.1; 18.8; 23.5 Å³/atom, respectively.
Across the entries above, density of states at the Fermi level takes the values 3.78; 3.05; 0.00; 5.71; 2.12; 9.86; 5.64; 2.97 states/eV/f.u., respectively.